Below is crystalline Ti3SbH at its relaxed geometry, with properties calculated at the PBE level.

Values from the calculation:
N(E_F) = 16.5 states/eV per cell
Total DFT energy (no corrections) = -6.53 eV/atom

a b c (Å): 14.4857 3.9432 5.9042
angles (deg): 90.00 97.01 90.00
Space group C2/m (No. 12)
Inequivalent atoms, fractional coordinates:
Ti 0.0985 0.0000 0.3322 x4
Ti 0.1985 0.5000 0.6049 x4
Ti 0.2005 0.5000 0.1159 x4
Sb 0.0975 0.0000 0.8349 x4
H 0.1049 0.5000 0.3250 x4

---

Below is crystalline Ti4Sb5H at its relaxed geometry, with properties calculated at the PBE level.

Values from the calculation:
N(E_F) = 17.0 states/eV per cell
Total DFT energy (no corrections) = -5.67 eV/atom

a b c (Å): 16.3129 3.0897 8.1836
angles (deg): 90.00 98.05 90.00
Space group C2/m (No. 12)
Inequivalent atoms, fractional coordinates:
Ti 0.0077 0.0000 0.3277 x4
Ti 0.1561 0.5000 0.5772 x4
Sb 0.0000 0.5000 0.0000 x2
Sb 0.1563 0.0000 0.8690 x4
Sb 0.1749 0.0000 0.2963 x4
H 0.0000 0.5000 0.5000 x2

---

Below is crystalline TiSbH2 at its relaxed geometry, with properties calculated at the PBE level.

Values from the calculation:
N(E_F) = 18.5 states/eV per cell
Total DFT energy (no corrections) = -4.16 eV/atom

a b c (Å): 5.7447 5.7447 5.7447
angles (deg): 90.00 90.00 90.00
Space group Fm-3m (No. 225)
Inequivalent atoms, fractional coordinates:
Ti 0.0000 0.0000 0.0000 x4
Sb 0.0000 0.0000 0.5000 x4
H 0.2500 0.2500 0.2500 x8

---

Below is crystalline Ti2SbH2 at its relaxed geometry, with properties calculated at the PBE level.

Values from the calculation:
N(E_F) = 6.0 states/eV per cell
Total DFT energy (no corrections) = -5.67 eV/atom

a b c (Å): 3.3431 3.3431 10.8828
angles (deg): 90.00 90.00 90.00
Space group I4/mmm (No. 139)
Inequivalent atoms, fractional coordinates:
Ti 0.0000 0.0000 0.1418 x4
Sb 0.0000 0.0000 0.5000 x2
H 0.0000 0.5000 0.2500 x4

---

Below is crystalline Ti5SbH2 at its relaxed geometry, with properties calculated at the PBE level.

Values from the calculation:
N(E_F) = 15.2 states/eV per cell
Total DFT energy (no corrections) = -6.44 eV/atom

a b c (Å): 4.0006 4.0006 14.1234
angles (deg): 90.00 90.00 90.00
Space group I4/mmm (No. 139)
Inequivalent atoms, fractional coordinates:
Ti 0.0000 0.0000 0.0000 x2
Ti 0.0000 0.5000 0.1520 x8
Sb 0.0000 0.0000 0.5000 x2
H 0.0000 0.0000 0.1339 x4

---

Below is crystalline Ti3SbH at its relaxed geometry, with properties calculated at the PBE level.

Values from the calculation:
N(E_F) = 4.8 states/eV per cell
Total DFT energy (no corrections) = -6.05 eV/atom

a b c (Å): 3.7869 3.7869 7.0367
angles (deg): 90.00 90.00 90.00
Space group P4mm (No. 99)
Inequivalent atoms, fractional coordinates:
Ti 0.0000 0.0000 0.0000 x1
Ti 0.0000 0.5000 0.7052 x2
Sb 0.0000 0.0000 0.3980 x1
H 0.5000 0.5000 0.6373 x1

---

Below is crystalline Ti5Sb2H2 at its relaxed geometry, with properties calculated at the PBE level.

Values from the calculation:
N(E_F) = 15.8 states/eV per cell
Total DFT energy (no corrections) = -6.46 eV/atom

a b c (Å): 9.8597 3.6751 7.2316
angles (deg): 90.00 95.51 90.00
Space group C2/m (No. 12)
Inequivalent atoms, fractional coordinates:
Ti 0.0000 0.0000 0.0000 x2
Ti 0.1366 0.0000 0.4326 x4
Ti 0.2000 0.5000 0.1380 x4
Sb 0.0813 0.5000 0.7264 x4
H 0.1524 0.0000 0.1708 x4

---

Below is crystalline Ti3SbH at its relaxed geometry, with properties calculated at the PBE level.

Values from the calculation:
N(E_F) = 118.8 states/eV per cell
Total DFT energy (no corrections) = -6.25 eV/atom

a b c (Å): 10.9932 10.9932 10.9932
angles (deg): 90.00 90.00 90.00
Space group Fd-3m (No. 227, origin choice 2)
Inequivalent atoms, fractional coordinates:
Ti 0.0655 0.3750 0.3750 x48
Sb 0.0000 0.0000 0.5000 x16
H 0.0000 0.0000 0.0000 x16

---

Below is crystalline Ti2SbH at its relaxed geometry, with properties calculated at the PBE level.

Values from the calculation:
N(E_F) = 6.7 states/eV per cell
Total DFT energy (no corrections) = -5.70 eV/atom

a b c (Å): 6.3713 6.3713 6.3713
angles (deg): 90.00 90.00 90.00
Space group Fm-3m (No. 225)
Inequivalent atoms, fractional coordinates:
Ti 0.2500 0.2500 0.2500 x8
Sb 0.0000 0.0000 0.0000 x4
H 0.0000 0.0000 0.5000 x4

---

Below is crystalline Ti3SbH2 at its relaxed geometry, with properties calculated at the PBE level.

Values from the calculation:
N(E_F) = 19.7 states/eV per cell
Total DFT energy (no corrections) = -5.97 eV/atom

a b c (Å): 16.0976 2.9887 7.2609
angles (deg): 90.00 105.33 90.00
Space group C2/m (No. 12)
Inequivalent atoms, fractional coordinates:
Ti 0.0673 0.0000 0.1800 x4
Ti 0.0871 0.5000 0.8666 x4
Ti 0.2343 0.5000 0.1853 x4
Sb 0.1449 0.5000 0.5155 x4
H 0.0297 0.0000 0.7176 x4
H 0.2124 0.5000 0.9172 x4

---

Below is crystalline Ti5Sb4H at its relaxed geometry, with properties calculated at the PBE level.

Values from the calculation:
N(E_F) = 11.5 states/eV per cell
Total DFT energy (no corrections) = -6.15 eV/atom

a b c (Å): 8.4074 8.4074 5.5374
angles (deg): 90.00 90.00 90.00
Space group I4 (No. 79)
Inequivalent atoms, fractional coordinates:
Ti 0.0000 0.0000 0.0000 x2
Ti 0.0946 0.7594 0.6654 x8
Sb 0.0761 0.6904 0.1626 x8
H 0.0000 0.0000 0.6600 x2

---

Below is crystalline Ti2SbH2 at its relaxed geometry, with properties calculated at the PBE level.

Values from the calculation:
N(E_F) = 13.0 states/eV per cell
Total DFT energy (no corrections) = -5.74 eV/atom

a b c (Å): 5.3395 9.0949 9.7949
angles (deg): 90.00 90.00 90.00
Space group Fddd (No. 70, origin choice 2)
Inequivalent atoms, fractional coordinates:
Ti 0.1250 0.2825 0.1250 x16
Sb 0.1250 0.1250 0.6250 x8
H 0.1250 0.1250 0.2538 x16

---

Below is crystalline TiSbH2 at its relaxed geometry, with properties calculated at the PBE level.

Values from the calculation:
N(E_F) = 3.9 states/eV per cell
Total DFT energy (no corrections) = -4.96 eV/atom

a b c (Å): 5.6158 3.2771 5.4364
angles (deg): 90.00 110.29 90.00
Space group Cm (No. 8)
Inequivalent atoms, fractional coordinates:
Ti 0.0000 0.0000 0.0000 x2
Sb 0.3089 0.5000 0.4274 x2
H 0.1252 0.5000 0.8768 x2
H 0.3128 0.0000 0.9359 x2

---

Below is crystalline Ti7Sb3H2 at its relaxed geometry, with properties calculated at the PBE level.

Values from the calculation:
N(E_F) = 17.4 states/eV per cell
Total DFT energy (no corrections) = -6.66 eV/atom

a b c (Å): 4.1032 22.0470 4.0537
angles (deg): 90.00 90.00 90.00
Space group Cmmm (No. 65)
Inequivalent atoms, fractional coordinates:
Ti 0.0000 0.0000 0.0000 x2
Ti 0.0000 0.0963 0.5000 x4
Ti 0.0000 0.2023 0.0000 x4
Ti 0.0000 0.4052 0.0000 x4
Sb 0.0000 0.3126 0.5000 x4
Sb 0.0000 0.5000 0.5000 x2
H 0.0000 0.0927 0.0000 x4

---

Below is crystalline Ti3SbH at its relaxed geometry, with properties calculated at the PBE level.

Values from the calculation:
N(E_F) = 2.7 states/eV per cell
Total DFT energy (no corrections) = -6.37 eV/atom

a b c (Å): 4.6672 4.6672 8.0378
angles (deg): 90.00 90.00 120.00
Space group P6_3/mmc (No. 194)
Inequivalent atoms, fractional coordinates:
Ti 0.0000 0.0000 0.2500 x2
Ti 0.3333 0.6667 0.0887 x4
Sb 0.3333 0.6667 0.7500 x2
H 0.0000 0.0000 0.0000 x2

---

Below is crystalline Ti3SbH at its relaxed geometry, with properties calculated at the PBE level.

Values from the calculation:
N(E_F) = 10.9 states/eV per cell
Total DFT energy (no corrections) = -4.81 eV/atom

a b c (Å): 5.2492 5.2492 5.2492
angles (deg): 90.00 90.00 90.00
Space group Pm-3m (No. 221)
Inequivalent atoms, fractional coordinates:
Ti 0.0000 0.0000 0.5000 x3
Sb 0.0000 0.0000 0.0000 x1
H 0.5000 0.5000 0.5000 x1

---

Below is crystalline Ti2SbH at its relaxed geometry, with properties calculated at the PBE level.

Values from the calculation:
N(E_F) = 13.6 states/eV per cell
Total DFT energy (no corrections) = -5.95 eV/atom

a b c (Å): 5.1874 5.1874 9.5241
angles (deg): 90.00 90.00 90.00
Space group I4_1/amd (No. 141, origin choice 2)
Inequivalent atoms, fractional coordinates:
Ti 0.0000 0.0000 0.0000 x8
Sb 0.0000 0.2500 0.3750 x4
H 0.0000 0.2500 0.8750 x4

---

Below is crystalline Ti3SbH at its relaxed geometry, with properties calculated at the PBE level.

Values from the calculation:
N(E_F) = 16.0 states/eV per cell
Total DFT energy (no corrections) = -6.66 eV/atom

a b c (Å): 9.7929 6.1828 4.7670
angles (deg): 90.00 90.13 90.00
Space group C2 (No. 5)
Inequivalent atoms, fractional coordinates:
Ti 0.1016 0.0000 0.2492 x4
Ti 0.1019 0.4716 0.2495 x4
Ti 0.1396 0.7288 0.7496 x4
Sb 0.1638 0.2384 0.7496 x4
H 0.0000 0.8169 0.0000 x2
H 0.0000 0.8203 0.5000 x2

---

Below is crystalline Ti3SbH at its relaxed geometry, with properties calculated at the PBE level.

Values from the calculation:
N(E_F) = 24.8 states/eV per cell
Total DFT energy (no corrections) = -5.61 eV/atom

a b c (Å): 4.6667 4.6667 20.1320
angles (deg): 90.00 90.00 90.00
Space group I-4m2 (No. 119)
Inequivalent atoms, fractional coordinates:
Ti 0.0000 0.0000 0.1847 x4
Ti 0.0000 0.2557 0.6236 x8
Sb 0.0000 0.0000 0.5000 x2
Sb 0.0000 0.5000 0.7500 x2
H 0.0000 0.5000 0.1461 x4

---

Below is crystalline Ti3SbH at its relaxed geometry, with properties calculated at the PBE level.

Values from the calculation:
N(E_F) = 37.1 states/eV per cell
Total DFT energy (no corrections) = -6.34 eV/atom

a b c (Å): 5.4707 5.4707 19.1030
angles (deg): 90.00 90.00 120.00
Space group R-3 (No. 148, hexagonal axes)
Inequivalent atoms, fractional coordinates:
Ti 0.0100 0.6877 0.1118 x18
Sb 0.0000 0.0000 0.3310 x6
H 0.0000 0.0000 0.1648 x6